1.
## TlCd4Ge (PBE)

Data for a geometry-optimized TlCd4Ge structure.

Properties
Formation energy = 0.164 eV per atom

Structure (extended XYZ):
```
6
Lattice="0.000 4.185 4.185 4.185 0.000 4.185 4.185 4.185 0.000" Properties=species:S:1:pos:R:3 pbc="T T T"
Tl 0.000 0.000 0.000
Cd 3.140 3.140 3.140
Cd 5.230 5.230 3.140
Cd 5.230 3.140 5.230
Cd 3.140 5.230 5.230
Ge 6.278 6.278 6.278
```

***

2.
## SiAs2Os (PBE)

Data for a geometry-optimized SiAs2Os structure.

Properties
Raw formation energy = 0.143 eV per atom

Structure (extended XYZ):
```
4
Lattice="2.982 0.000 0.000 0.000 3.737 0.000 -0.044 0.000 6.838" Properties=species:S:1:pos:R:3 pbc="T T T"
Si 0.000 0.000 0.000
As 1.491 0.000 2.454
As 2.937 1.869 5.189
Os 1.491 1.869 0.572
```

***

3.
## SrTlSb3 (PBE)

Data for a geometry-optimized SrTlSb3 structure.

Properties
Raw formation energy = 0.263 eV per atom
ΔE to the lowest computed polymorph = 0.0 meV/atom

Structure (extended XYZ):
```
5
Lattice="5.738 0.000 0.000 0.000 5.738 0.000 0.000 0.000 5.738" Properties=species:S:1:pos:R:3 pbc="T T T"
Sr 0.000 0.000 0.000
Tl 2.869 2.869 2.869
Sb 0.000 2.869 2.869
Sb 2.869 0.000 2.869
Sb 2.869 2.869 0.000
```